1.
DFT (GGA-PBE) results for a geometry-optimized KAlHg14 structure.

Unit cell a=9.471 b=6.253 c=15.514 alpha=90.00 beta=90.00 gamma=90.00
Space group Amm2 (No. 38)
Inequivalent atoms, fractional coordinates:
K 0.000 0.000 0.000 x2
Al 0.000 0.000 0.370 x2
Hg 0.000 0.241 0.719 x4
Hg 0.173 0.000 0.562 x4
Hg 0.257 0.248 0.876 x8
Hg 0.274 0.000 0.138 x4
Hg 0.500 0.000 0.557 x2
Hg 0.500 0.000 0.983 x2
Hg 0.500 0.246 0.745 x4

Results
ΔH_f (0 K) in eV per atom: -0.011
Density in kg/m3: 10390
Total moment in μB per formula unit: 0.0
Calculated volume in Å³ per atom: 28.71



2.
DFT (GGA-PBE) results for a geometry-optimized K2AlHg2 structure.

Unit cell a=7.419 b=7.419 c=5.828 alpha=90.00 beta=90.00 gamma=90.00
Space group P4/mbm (No. 127)
Inequivalent atoms, fractional coordinates:
K 0.174 0.326 0.000 x4
Al 0.000 0.000 0.500 x2
Hg 0.153 0.653 0.500 x4

Results
ΔH_f (0 K) in eV per atom: -0.048
Density in kg/m3: 5243
Total moment in μB per formula unit: 0.0
Energy above the lowest structure with this stoichiometry in meV per atom: 0
Calculated volume in Å³ per atom: 32.08



3.
DFT (GGA-PBE) results for a geometry-optimized K4AlHg structure.

Unit cell a=10.473 b=10.473 c=10.473 alpha=90.00 beta=90.00 gamma=90.00
Space group F-43m (No. 216)
Inequivalent atoms, fractional coordinates:
K 0.124 0.124 0.124 x16
Al 0.250 0.250 0.750 x4
Hg 0.000 0.000 0.500 x4

Results
ΔH_f (0 K) in eV per atom: 0.389
Density in kg/m3: 2220
Total moment in μB per formula unit: 1.2
Calculated volume in Å³ per atom: 47.86



4.
DFT (GGA-PBE) results for a geometry-optimized KAlHg structure.

Unit cell a=7.376 b=7.376 c=7.376 alpha=90.00 beta=90.00 gamma=90.00
Space group F-43m (No. 216)
Inequivalent atoms, fractional coordinates:
K 0.000 0.000 0.000 x4
Al 0.000 0.000 0.500 x4
Hg 0.250 0.250 0.750 x4

Results
ΔH_f (0 K) in eV per atom: 0.266
Density in kg/m3: 4414
Total moment in μB per formula unit: 0.0
Energy above the lowest structure with this stoichiometry in meV per atom: 223
Calculated volume in Å³ per atom: 33.44